# KYOs2 SCAN PBEsol geometry
# * energy above the lowest structure with this stoichiometry: 439 meV/atom
# * calculated formation energy: 0.964 eV/atom
data_KYOs2
_space_group_name_H-M_alt 'P 1'
_space_group_IT_number 1
_cell_length_a 2.839
_cell_length_b 2.839
_cell_length_c 9.801
_cell_angle_alpha 90.00
_cell_angle_beta 90.00
_cell_angle_gamma 90.00
loop_
_space_group_symop_operation_xyz
'x,y,z'
loop_
_atom_site_label
_atom_site_fract_x
_atom_site_fract_y
_atom_site_fract_z
K1 0.000 0.000 0.000
Y1 0.000 0.000 0.500
Os1 0.500 0.500 0.278
Os2 0.500 0.500 0.722



# KYOs2 SCAN PBEsol geometry
# * energy above the lowest structure with this stoichiometry: 0 meV/atom
# * calculated formation energy: 0.526 eV/atom
data_KYOs2
_space_group_name_H-M_alt 'P 1'
_space_group_IT_number 1
_cell_length_a 6.699
_cell_length_b 6.699
_cell_length_c 6.699
_cell_angle_alpha 144.90
_cell_angle_beta 139.14
_cell_angle_gamma 54.94
loop_
_space_group_symop_operation_xyz
'x,y,z'
loop_
_atom_site_label
_atom_site_fract_x
_atom_site_fract_y
_atom_site_fract_z
K1 0.000 0.000 0.000
Y1 0.734 0.234 0.500
Os1 0.268 0.768 0.500
Os2 0.364 0.364 0.000



# KYOs2 SCAN PBEsol geometry
# * energy above the lowest structure with this stoichiometry: 306 meV/atom
# * calculated formation energy: 0.832 eV/atom
data_KYOs2
_space_group_name_H-M_alt 'P 1'
_space_group_IT_number 1
_cell_length_a 2.843
_cell_length_b 2.843
_cell_length_c 10.121
_cell_angle_alpha 90.00
_cell_angle_beta 90.00
_cell_angle_gamma 113.17
loop_
_space_group_symop_operation_xyz
'x,y,z'
loop_
_atom_site_label
_atom_site_fract_x
_atom_site_fract_y
_atom_site_fract_z
K1 0.000 0.000 0.000
Y1 0.000 0.000 0.500
Os1 0.500 0.500 0.275
Os2 0.500 0.500 0.725



# KZnOs SCAN PBEsol geometry
# * energy above the lowest structure with this stoichiometry: 0 meV/atom
# * calculated formation energy: 1.043 eV/atom
data_KZnOs
_space_group_name_H-M_alt 'P 1'
_space_group_IT_number 1
_cell_length_a 4.944
_cell_length_b 4.944
_cell_length_c 2.593
_cell_angle_alpha 90.00
_cell_angle_beta 90.00
_cell_angle_gamma 120.00
loop_
_space_group_symop_operation_xyz
'x,y,z'
loop_
_atom_site_label
_atom_site_fract_x
_atom_site_fract_y
_atom_site_fract_z
K1 0.000 0.000 0.000
Zn1 0.667 0.333 0.500
Os1 0.333 0.667 0.500



# KZnOs SCAN PBEsol geometry
# * energy above the lowest structure with this stoichiometry: 612 meV/atom
# * calculated formation energy: 1.655 eV/atom
data_KZnOs
_space_group_name_H-M_alt 'P 1'
_space_group_IT_number 1
_cell_length_a 4.545
_cell_length_b 4.545
_cell_length_c 4.545
_cell_angle_alpha 60.00
_cell_angle_beta 60.00
_cell_angle_gamma 60.00
loop_
_space_group_symop_operation_xyz
'x,y,z'
loop_
_atom_site_label
_atom_site_fract_x
_atom_site_fract_y
_atom_site_fract_z
K1 0.000 0.000 0.000
Zn1 0.250 0.250 0.250
Os1 0.500 0.500 0.500



# KZrOs3 SCAN PBEsol geometry
# * calculated formation energy: 3.119 eV/atom
data_KZrOs3
_space_group_name_H-M_alt 'P 1'
_space_group_IT_number 1
_cell_length_a 4.479
_cell_length_b 4.479
_cell_length_c 4.479
_cell_angle_alpha 90.00
_cell_angle_beta 90.00
_cell_angle_gamma 90.00
loop_
_space_group_symop_operation_xyz
'x,y,z'
loop_
_atom_site_label
_atom_site_fract_x
_atom_site_fract_y
_atom_site_fract_z
K1 0.000 0.000 0.000
Zr1 0.500 0.500 0.500
Os1 0.000 0.000 0.500
Os2 0.000 0.500 0.000
Os3 0.500 0.000 0.000